# Pm8Y6Mg PBE-GGA relaxed
data_Pm8Y6Mg
_symmetry_space_group_name_H-M 'P -3'
_symmetry_Int_Tables_number 147
_cell_length_a 9.4006
_cell_length_b 9.4006
_cell_length_c 6.5219
_cell_angle_alpha 90.00
_cell_angle_beta 90.00
_cell_angle_gamma 120.00
loop_
_symmetry_equiv_pos_as_xyz
'x,y,z'
'-x,-y,-z'
'-y,x-y,z'
'y,-x+y,-z'
'-x+y,-x,z'
'x-y,x,-z'
loop_
_atom_site_label
_atom_site_type_symbol
_atom_site_fract_x
_atom_site_fract_y
_atom_site_fract_z
_atom_site_occupancy
Pm1 Pm 0.0386 0.7644 0.1751 1
Pm2 Pm 0.3333 0.6667 0.1449 1
Y1 Y 0.0945 0.6507 0.6654 1
Mg1 Mg 0.0000 0.0000 0.5000 1
# N(E_F) in states/eV/atom: 1.473
# Energy of formation from the pure elements in eV/atom: 0.13
# Magnetic moment in μB/f.u.: 0.0